First-principles (GGA-PBE) data for a relaxed CsAl2Hg2 crystal, as listed in Alexandria via LeMat-Bulk.

Values from the calculation:
Offset from the most stable computed form   186.0 meV/atom
E_form   0.2143 eV per atom
Crystal system   tetragonal

a b c (Å): 9.220 9.220 3.289
angles (deg): 90.00 90.00 90.00
Sites, in units of the cell vectors:
Cs 0.500 0.500 0.000
Cs 0.000 0.000 0.000
Al 0.368 0.132 0.500
Al 0.132 0.632 0.500
Al 0.632 0.868 0.500
Al 0.868 0.368 0.500
Hg 0.145 0.355 0.000
Hg 0.645 0.145 0.000
Hg 0.855 0.645 0.000
Hg 0.355 0.855 0.000

First-principles (GGA-PBE) data for a relaxed CsAl2Hg2 crystal, as listed in Alexandria via LeMat-Bulk.

Values from the calculation:
Offset from the most stable computed form   0.0 meV/atom
E_form   0.0284 eV per atom
Crystal system   tetragonal

a b c (Å): 4.706 4.706 7.759
angles (deg): 72.35 72.35 90.00
Sites, in units of the cell vectors:
Hg 0.351 0.351 0.299
Hg 0.649 0.649 0.701
Cs 0.000 0.000 0.000
Al 0.250 0.750 0.500
Al 0.750 0.250 0.500

First-principles (GGA-PBE) data for a relaxed CsAlHg crystal, as listed in Alexandria via LeMat-Bulk.

Values from the calculation:
Offset from the most stable computed form   32.6 meV/atom
E_form   -0.0024 eV per atom
Crystal system   monoclinic

a b c (Å): 9.226 4.921 12.341
angles (deg): 90.00 127.60 90.00
Sites, in units of the cell vectors:
Hg 0.058 0.000 0.137
Hg 0.058 0.500 0.637
Hg 0.298 0.000 0.031
Hg 0.298 0.500 0.531
Cs 0.856 0.500 0.823
Cs 0.856 0.000 0.323
Cs 0.570 0.000 0.467
Cs 0.570 0.500 0.967
Al 0.146 0.000 0.748
Al 0.348 0.000 0.660
Al 0.146 0.500 0.248
Al 0.348 0.500 0.160

First-principles (GGA-PBE) data for a relaxed Cs2AlHg2 crystal, as listed in Alexandria via LeMat-Bulk.

Values from the calculation:
E_form   0.0395 eV per atom
Crystal system   tetragonal

a b c (Å): 7.813 7.813 6.332
angles (deg): 90.00 90.00 90.00
Sites, in units of the cell vectors:
Cs 0.328 0.172 0.500
Cs 0.828 0.328 0.500
Cs 0.172 0.672 0.500
Cs 0.672 0.828 0.500
Hg 0.665 0.165 0.000
Hg 0.165 0.335 0.000
Hg 0.835 0.665 0.000
Hg 0.335 0.835 0.000
Al 0.500 0.500 0.000
Al 0.000 0.000 0.000

First-principles (GGA-PBE) data for a relaxed CsAlHg crystal, as listed in Alexandria via LeMat-Bulk.

Values from the calculation:
Offset from the most stable computed form   37.9 meV/atom
E_form   0.0029 eV per atom
Crystal system   monoclinic

a b c (Å): 5.141 4.812 9.024
angles (deg): 90.00 94.22 90.00
Sites, in units of the cell vectors:
Hg 0.813 0.000 0.060
Hg 0.647 0.500 0.256
Cs 0.737 0.000 0.565
Cs 0.273 0.500 0.876
Al 0.307 0.000 0.201
Al 0.152 0.500 0.337

First-principles (GGA-PBE) data for a relaxed CsAl2Hg2 crystal, as listed in Alexandria via LeMat-Bulk.

Values from the calculation:
Offset from the most stable computed form   42.0 meV/atom
E_form   0.0703 eV per atom
Crystal system   tetragonal

a b c (Å): 5.240 5.240 6.451
angles (deg): 66.04 66.04 90.00
Sites, in units of the cell vectors:
Cs 0.000 0.000 0.000
Hg 0.250 0.750 0.500
Hg 0.750 0.250 0.500
Al 0.629 0.629 0.741
Al 0.371 0.371 0.259

> What is the E_form in the second record?

0.0284 eV per atom